# 1
Li2MgBr: optimized geometry, PBE.

The structure belongs to space group Immm (No. 71); the cell edges are 3.449, 6.487 and 9.306 Å and the angles 90.00°, 90.00° and 90.00°. Symmetry generates all atoms from Li at (0.000, 0.000, 0.201), Mg at (0.000, 0.500, 0.000) and Br at (0.000, 0.500, 0.500).

For the polymorph energy (0 for the lowest one), the calculation gives 165.1 meV per atom.

---

# 2
LiMgBr2: optimized geometry, PBE.

The structure belongs to space group P4mm (No. 99); the cell edges are 4.182, 4.182 and 5.981 Å and the angles 90.00°, 90.00° and 90.00°. Symmetry generates all atoms from Li at (0.000, 0.000, 0.000), Mg at (0.500, 0.500, 0.461), Br at (0.000, 0.000, 0.449) and Br at (0.500, 0.500, 0.957).

For the polymorph energy (0 for the lowest one), the calculation gives 21.0 meV per atom.

---

| no. | ΔE_f (raw) (eV/f.u.) | density of states at the Fermi level (states/eV/atom) | DFT total energy (eV per atom) |
| --- | --- | --- | --- |
| 1 | -1.79 | 0.29 | -2.221 |
| 2 | -3.91 | 0.33 | -2.690 |